## w
Compound: NdHoGe2
Source: Alexandria
Functional: PBE
Structure: relaxed

The space group is R-3m, No. 166. Its crystal system is trigonal. As for the calculated volume: 25.377 Å³/atom.

The structure in POSCAR format:
```
NdHoGe2
1.0
-4.2701 -0.8538 -1.6751
-3.0817 -2.3797 2.5708
-4.2160 3.5319 2.4493
Ge Nd Ho
2 1 1
Direct
0.7421 0.7421 0.7736
0.2579 0.2579 0.2264
0.5000 0.5000 0.5000
0.0000 0.0000 0.0000
```



## x
Compound: NdHoGe2
Source: Alexandria
Functional: PBE
Structure: relaxed

The space group is P4/mmm, No. 123. Its crystal system is tetragonal. As for the calculated volume: 23.601 Å³/atom.

The structure in POSCAR format:
```
NdHoGe2
1.0
-2.3549 2.6614 2.0188
-1.3545 -3.4872 3.0172
3.6872 1.0694 2.8913
Ge Nd Ho
2 1 1
Direct
0.0000 0.0000 0.5000
0.0000 0.5000 0.0000
0.5000 0.5000 0.5000
0.5000 0.0000 0.0000
```



## y
Compound: NdHoGe2
Source: Alexandria
Functional: PBE
Structure: relaxed

The space group is Amm2, No. 38. Its crystal system is orthorhombic. As for the calculated volume: 23.977 Å³/atom.

The structure in POSCAR format:
```
NdHoGe2
1.0
-1.1616 3.5544 -2.2712
0.8931 -1.9003 -3.4307
-4.5323 -3.6399 0.8363
Nd Ho Ge
1 1 2
Direct
0.7213 0.0000 0.9819
0.4460 0.5000 0.4306
0.1652 0.5000 0.8700
0.9985 0.0000 0.5355
```



Least stable structure: x